Here is a relaxed structure of Rb2AlGaAu6 from Alexandria. Energies are from PBE.

abc: 6.9110 7.1135 7.1827
angles: 89.77 61.27 61.01
Closest atoms and distances in Å follow each position.
Space group P-1 (No. 2)
Asymmetric unit:
Rb: 0.0903 0.1536 0.1662  12 Au 3.60-3.76, 1 Ga 3.89, 1 Al 4.02
Al: 0.5000 0.0000 0.5000  6 Au 2.58-2.60
Ga: 0.5000 0.5000 0.0000  6 Au 2.61-2.62
Au: 0.0038 0.3100 0.6983  1 Al 2.58, 1 Ga 2.62, 2 Au 2.86-2.88
Au: 0.4092 0.3411 0.3417  1 Al 2.60, 1 Ga 2.62, 4 Au 2.85-2.88
Au: 0.4867 0.3103 0.6995  1 Al 2.58, 1 Ga 2.61, 2 Au 2.85-2.88

Results
energy relative to the elements = -0.289 eV per atom
size of the total moment = 0.00 μB per formula unit
DOS(E_F) = 0.233 states/eV per atom